A plane-wave DFT calculation with PBE was carried out for an optimized crystal structure of Ca5Al4.

Computed properties:
The symmetry is C2/m (12). The calculation puts the total magnetization at 0.0 μB per formula unit. The value obtained for the energy relative to the lowest polymorph listed for this composition is 0 meV/atom. The density comes out at 1937 kg/m3. As for the total energy: -26.591 eV/cell. Its volume is 264.3 Å³/cell.

Cell lengths 6.0560, 6.0560, 10.7957 Å; angles 111.71, 111.71, 46.84 degrees
With the nearest neighbours (Å) after each atom.
Element x y z (fractional)
Ca 0.0000 0.0000 0.0000  4 Al 3.21, 4 Ca 3.59
Ca 0.1048 0.1048 0.3971  7 Al 3.28-3.41
Ca 0.2480 0.2480 0.8271  6 Al 3.24-3.43, 2 Ca 3.59
Ca 0.7520 0.7520 0.1729  6 Al 3.24-3.43, 2 Ca 3.59
Ca 0.8952 0.8952 0.6029  7 Al 3.28-3.41
Al 0.3943 0.3943 0.3836  2 Al 2.62-2.66
Al 0.4442 0.4442 0.1664  1 Al 2.62
Al 0.5558 0.5558 0.8336  1 Al 2.62
Al 0.6057 0.6057 0.6164  2 Al 2.62-2.66


A plane-wave DFT calculation with PBE was carried out for an optimized crystal structure of AlHg4.

Computed properties:
The symmetry is Pm-3m (221). The calculation puts the total magnetization at 0.0 μB per formula unit. The density comes out at 8950 kg/m3. As for the total energy: -4.587 eV/cell. Its volume is 153.9 Å³/cell.

Cell lengths 5.3586, 5.3586, 5.3586 Å; angles 90.00, 90.00, 90.00 degrees
With the nearest neighbours (Å) after each atom.
Element x y z (fractional)
Al 0.0000 0.0000 0.0000  6 Hg 2.68
Hg 0.0000 0.0000 0.5000  2 Al 2.68
Hg 0.0000 0.5000 0.0000  2 Al 2.68
Hg 0.5000 0.0000 0.0000  2 Al 2.68
Hg 0.5000 0.5000 0.5000  12 Hg 3.79


A plane-wave DFT calculation with PBE was carried out for an optimized crystal structure of Gd2MgNi.

Computed properties:
The symmetry is R-3m (166). The calculation puts the total magnetization at 14.9 μB per formula unit. The value obtained for the energy relative to the lowest polymorph listed for this composition is 298 meV/atom. The density comes out at 5538 kg/m3. As for the total energy: -35.235 eV/cell. Its volume is 119.2 Å³/cell.

Cell lengths 10.2654, 10.2654, 10.2654 Å; angles 20.78, 20.78, 20.78 degrees
With the nearest neighbours (Å) after each atom.
Element x y z (fractional)
Gd 0.1121 0.1121 0.1121  3 Ni 2.70
Gd 0.8879 0.8879 0.8879  3 Ni 2.70
Mg 0.0000 0.0000 0.0000  2 Gd 3.38, 6 Mg 3.70
Ni 0.5000 0.5000 0.5000  6 Gd 2.70


A plane-wave DFT calculation with PBE was carried out for an optimized crystal structure of AuSe3.

Computed properties:
The symmetry is Cmcm (63). The calculation puts the total magnetization at 0.0 μB per formula unit. Its uncorrected formation energy is 0.220 eV per atom. The density comes out at 7309 kg/m3. As for the total energy: -25.701 eV/cell. Its volume is 197.1 Å³/cell.

Cell lengths 7.4140, 7.4140, 3.9107 Å; angles 90.00, 90.00, 113.50 degrees
With the nearest neighbours (Å) after each atom.
Element x y z (fractional)
Au 0.1038 0.8962 0.7500  2 Se 2.49
Au 0.8962 0.1038 0.2500  2 Se 2.49
Se 0.1093 0.4615 0.2500  1 Au 2.49, 2 Se 2.74
Se 0.4276 0.5724 0.7500  6 Se 2.65-2.92
Se 0.4615 0.1093 0.7500  1 Au 2.49, 2 Se 2.74
Se 0.5385 0.8907 0.2500  1 Au 2.49, 2 Se 2.74
Se 0.5724 0.4276 0.2500  6 Se 2.65-2.92
Se 0.8907 0.5385 0.7500  1 Au 2.49, 2 Se 2.74


A plane-wave DFT calculation with PBE was carried out for an optimized crystal structure of PaSi2Mo.

Computed properties:
The symmetry is Pnma (62). The calculation puts the total magnetization at 0.0 μB per formula unit. The value obtained for the energy relative to the lowest polymorph listed for this composition is 0 meV/atom. Its uncorrected formation energy is -0.522 eV per atom. The density comes out at 8866 kg/m3. As for the total energy: -133.044 eV/cell. Its volume is 287.0 Å³/cell.

Cell lengths 7.4767, 3.7821, 10.1512 Å; angles 90.00, 90.00, 90.00 degrees
With the nearest neighbours (Å) after each atom.
Element x y z (fractional)
Pa 0.1389 0.2500 0.1383  9 Si 2.95-3.28
Pa 0.3611 0.7500 0.6383  9 Si 2.95-3.28
Pa 0.6389 0.2500 0.3617  9 Si 2.95-3.28
Pa 0.8611 0.7500 0.8617  9 Si 2.95-3.28
Si 0.1576 0.2500 0.8156  2 Si 2.38, 2 Mo 2.47-2.61
Si 0.2373 0.2500 0.4345  2 Si 2.38, 3 Mo 2.54-2.57
Si 0.2627 0.7500 0.9345  2 Si 2.38, 3 Mo 2.54-2.57
Si 0.3424 0.7500 0.3156  2 Si 2.38, 2 Mo 2.47-2.61
Si 0.6576 0.2500 0.6844  2 Si 2.38, 2 Mo 2.47-2.61
Si 0.7373 0.2500 0.0655  2 Si 2.38, 3 Mo 2.54-2.57
Si 0.7627 0.7500 0.5655  2 Si 2.38, 3 Mo 2.54-2.57
Si 0.8424 0.7500 0.1844  2 Si 2.38, 2 Mo 2.47-2.61
Mo 0.0104 0.7500 0.3944  5 Si 2.47-2.61
Mo 0.4896 0.2500 0.8944  5 Si 2.47-2.61
Mo 0.5104 0.7500 0.1056  5 Si 2.47-2.61
Mo 0.9896 0.2500 0.6056  5 Si 2.47-2.61


A plane-wave DFT calculation with PBE was carried out for an optimized crystal structure of AgWSN2.

Computed properties:
The symmetry is P4/mmm (123). The calculation puts the total magnetization at 0.0 μB per formula unit. The value obtained for the energy relative to the lowest polymorph listed for this composition is 0 meV/atom. Its uncorrected formation energy is 0.347 eV per atom. The density comes out at 7539 kg/m3. As for the total energy: -34.845 eV/cell. Its volume is 77.5 Å³/cell.

Cell lengths 3.8926, 3.8926, 5.1135 Å; angles 90.00, 90.00, 90.00 degrees
With the nearest neighbours (Å) after each atom.
Element x y z (fractional)
Ag 0.0000 0.0000 0.0000  4 S 2.75
W 0.5000 0.5000 0.5000  4 N 1.95
S 0.5000 0.5000 0.0000  2 W 2.56, 4 Ag 2.75
N 0.0000 0.5000 0.5000  2 W 1.95
N 0.5000 0.0000 0.5000  2 W 1.95


A plane-wave DFT calculation with PBE was carried out for an optimized crystal structure of Ga2Rh.

Computed properties:
The symmetry is I4/mmm (139). The calculation puts the total magnetization at 0.0 μB per formula unit. The density comes out at 9124 kg/m3. As for the total energy: -14.849 eV/cell. Its volume is 44.1 Å³/cell.

Cell lengths 4.7034, 4.7034, 4.7034 Å; angles 139.14, 139.14, 59.17 degrees
With the nearest neighbours (Å) after each atom.
Element x y z (fractional)
Ga 0.1626 0.1626 0.0000  5 Ga 2.66-2.73, 5 Rh 2.68-2.76
Ga 0.8374 0.8374 0.0000  5 Ga 2.66-2.73, 5 Rh 2.68-2.76
Rh 0.5000 0.5000 0.0000  10 Ga 2.68-2.76


- What is the density in the second record?
  8950 kg/m3


- The lowest density belongs to which entry?
  Ca5Al4


- Look up the density of the sixth one.
  7539 kg/m3